5
Lattice="-1.9516 -0.2718 -5.2282 4.4601 -3.0080 -1.5085 -1.8420 -3.1584 0.8518" Properties=species:S:1:pos:R:3 comment="PBE with a Hubbard U RuWI2O, optimized geometry" e_above_lowest_polymorph_ev_per_atom=0.000 final_energy_ev_per_atom=-4.44 magmom_total_mub_per_fu=4.1 pbc="T T T"
I 2.2301 -1.5040 -0.7543
I -0.9758 -0.1359 -2.6141
Ru 0.0000 0.0000 0.0000
O -0.9210 -1.5792 0.4259
W 0.3333 -3.2191 -2.9425